Arrangement P

DFT (PBE-GGA) results for crystalline NbInW3 at its relaxed geometry.

Cell: 4.810 4.810 4.810 Å, 90.00 90.00 90.00°
Atoms (fractional coordinates):
W1 0.500 0.000 0.000
W2 0.000 0.500 0.000
Nb1 0.500 0.500 0.500
W3 0.000 0.000 0.500
In1 0.000 0.000 0.000

Computed properties:
Its crystal system is cubic. The space group is Pm-3m (221). The calculation puts the density at 11.3 g/cm3.



Arrangement Q

DFT (PBE-GGA) results for crystalline NbInW3 at its relaxed geometry.

Cell: 4.800 4.800 4.800 Å, 90.00 90.00 90.00°
Atoms (fractional coordinates):
Nb1 0.000 0.000 0.000
In1 0.500 0.500 0.500
W1 0.000 0.000 0.500
W2 0.000 0.500 0.000
W3 0.500 0.000 0.000

Computed properties:
Its crystal system is cubic. The space group is Pm-3m (221). The calculation puts the density at 11.4 g/cm3.



arrangement Q is preferred energetically. Next in line: 62.6 kJ/mol of atoms higher.



Arrangement P

DFT (PBE-GGA) results for crystalline ZrNbIn at its relaxed geometry.

Cell: 2.859 5.022 5.022 Å, 120.00 90.00 90.00°
Atoms (fractional coordinates):
Zr1 0.654 0.667 0.333
Nb1 0.318 0.333 0.667
In1 0.027 0.000 0.000

Computed properties:
Its crystal system is trigonal. The space group is P3m1 (156). The calculation puts the density at 7.9 g/cm3.



Arrangement Q

DFT (PBE-GGA) results for crystalline ZrNbIn at its relaxed geometry.

Cell: 3.367 3.355 11.899 Å, 90.00 82.08 90.00°
Atoms (fractional coordinates):
Zr1 0.980 0.291 0.538
Nb1 0.403 0.791 0.694
Nb2 0.842 0.291 0.819
In1 0.680 0.291 0.147
In2 0.565 0.791 0.365
Zr2 0.264 0.791 0.974

Computed properties:
Its crystal system is monoclinic. The space group is P2_1/m (11). The calculation puts the density at 7.5 g/cm3.



arrangement Q is preferred energetically. Next in line: 11.8 kJ/mol of atoms higher.



Arrangement P

DFT (PBE-GGA) results for crystalline ZrNbIn2 at its relaxed geometry.

Cell: 3.727 3.727 6.077 Å, 90.00 90.00 90.00°
Atoms (fractional coordinates):
Zr1 0.500 0.500 0.500
In1 0.000 0.000 0.240
In2 0.000 0.000 0.760
Nb1 0.500 0.500 0.000

Computed properties:
Its crystal system is tetragonal. The space group is P4/mmm (123). The calculation puts the density at 8.1 g/cm3.



Arrangement Q

DFT (PBE-GGA) results for crystalline ZrNbIn2 at its relaxed geometry.

Cell: 4.520 4.297 4.297 Å, 90.00 90.00 90.00°
Atoms (fractional coordinates):
In1 0.000 0.500 0.000
Zr1 0.500 0.500 0.500
In2 0.000 0.000 0.500
Nb1 0.500 0.000 0.000

Computed properties:
Its crystal system is tetragonal. The space group is P4/mmm (123). The calculation puts the density at 8.2 g/cm3.



arrangement Q is preferred energetically. Next in line: 12.8 kJ/mol of atoms higher.



Arrangement P

DFT (PBE-GGA) results for crystalline ZrNbIn2 at its relaxed geometry.

Cell: 4.914 4.914 4.914 Å, 60.00 60.00 60.00°
Atoms (fractional coordinates):
In1 0.250 0.250 0.250
In2 0.750 0.750 0.750
Nb1 0.500 0.500 0.500
Zr1 0.000 0.000 0.000

Computed properties:
Its crystal system is cubic. The space group is Fm-3m (225). The calculation puts the density at 8.2 g/cm3.



Arrangement Q

DFT (PBE-GGA) results for crystalline ZrNbIn2 at its relaxed geometry.

Cell: 7.827 7.827 6.287 Å, 51.50 51.50 90.00°
Atoms (fractional coordinates):
Nb1 0.000 0.000 0.000
In1 0.115 0.625 0.250
In2 0.875 0.885 0.750
Zr1 0.500 0.500 0.000
Nb2 0.750 0.250 0.500
In3 0.375 0.365 0.750
In4 0.635 0.125 0.250
Zr2 0.250 0.750 0.500

Computed properties:
Its crystal system is tetragonal. The space group is I-42d (122). The calculation puts the density at 7.5 g/cm3.



arrangement P is preferred energetically. Next in line: 17.7 kJ/mol of atoms higher.